Density functional theory data (PBE) for a relaxed structure of CrCoSi2.

extended XYZ file:
```
4
Lattice="1.359 0.785 7.583 -1.359 0.785 7.583 0.000 -1.569 7.583" Properties=species:S:1:pos:R:3 pbc="T T T"
Cr 0.000 0.000 0.000
Co 0.000 0.000 17.135
Si 0.000 0.000 5.729
Si 0.000 0.000 11.252
```

Computed properties:
- Energy: -6.840 eV per atom
- Raw formation energy: 54 meV per atom